--- one ---
This record from Alexandria describes a relaxed structure of LaTb2Pr5. The functional is GGA-PBE.

Unit cell a=7.360 b=14.723 c=5.197 alpha=90.00 beta=90.00 gamma=90.00
Space group Pbam (No. 55)
Inequivalent atoms, fractional coordinates:
La  0.000  0.000  0.000 [2 per cell]
Tb  0.249  0.125  0.500 [4 per cell]
Pr  0.000  0.500  0.000 [2 per cell]
Pr  0.002  0.749  0.000 [4 per cell]
Pr  0.249  0.375  0.500 [4 per cell]

Computed properties:
**Crystal system**: orthorhombic
**DOS at the Fermi energy**: 23.1 states/eV/cell

--- two ---
This record from Alexandria describes a relaxed structure of LaTb2Pr5. The functional is GGA-PBE.

Unit cell a=3.646 b=11.465 c=13.614 alpha=90.00 beta=90.00 gamma=90.00
Space group Immm (No. 71)
Inequivalent atoms, fractional coordinates:
La  0.000  0.000  0.000 [2 per cell]
Tb  0.000  0.500  0.256 [4 per cell]
Pr  0.000  0.231  0.368 [8 per cell]
Pr  0.000  0.500  0.000 [2 per cell]

Computed properties:
**Crystal system**: orthorhombic
**DOS at the Fermi energy**: 22.6 states/eV/cell

How do the energies compare? Relative to the most stable structure, in meV per atom: one 0; two 19.

--- one ---
This record from Alexandria describes a relaxed structure of LaTbPr. The functional is GGA-PBE.

Unit cell a=5.820 b=7.177 c=10.074 alpha=90.00 beta=90.00 gamma=90.00
Space group Immm (No. 71)
Inequivalent atoms, fractional coordinates:
La  0.000  0.245  0.000 [4 per cell]
Tb  0.000  0.500  0.335 [4 per cell]
Pr  0.000  0.000  0.334 [4 per cell]

Computed properties:
**Crystal system**: orthorhombic
**DOS at the Fermi energy**: 18.4 states/eV/cell

--- two ---
This record from Alexandria describes a relaxed structure of LaTbPr. The functional is GGA-PBE.

Unit cell a=3.691 b=3.691 c=15.532 alpha=90.00 beta=90.00 gamma=90.00
Space group I4mm (No. 107)
Inequivalent atoms, fractional coordinates:
La  0.000  0.000  0.000 [2 per cell]
Tb  0.000  0.000  0.335 [2 per cell]
Pr  0.000  0.000  0.672 [2 per cell]

Computed properties:
**Crystal system**: tetragonal
**DOS at the Fermi energy**: 10.8 states/eV/cell

How do the energies compare? Relative to the most stable structure, in meV per atom: one 25; two 0.